Record 1
CoIr2Rh5, optimized geometry, DFT PBE; formation energy from the elements = 0.375 eV per atom; energy above the most stable polymorph in this dataset = 350 meV/atom; calculated volume = 15.67 A^3/atom; SG = No. 63; Fermi-level density of states = 11.022 states/eV/f.u.; calculated total energy = -7.32 eV/atom
1.0
2.111 -5.531 0.000
2.111 5.531 0.000
0.000 0.000 10.736
Co Ir Rh
2 4 10
Cartesian
2.111 3.513 8.052
2.111 -3.513 2.684
2.111 1.283 1.404
2.111 1.283 3.964
2.111 -1.283 6.772
2.111 -1.283 9.332
2.111 3.647 2.684
2.111 3.623 5.415
2.111 3.623 10.690
2.111 1.111 6.678
2.111 1.111 9.426
2.111 -1.111 1.310
2.111 -1.111 4.058
2.111 -3.623 0.046
2.111 -3.623 5.322
2.111 -3.647 8.052

---

Record 2
CoIrRh3, optimized geometry, DFT PBE; formation energy from the elements = 0.400 eV per atom; energy above the most stable polymorph in this dataset = 0 meV/atom; calculated volume = 14.43 A^3/atom; SG = No. 62; Fermi-level density of states = 8.570 states/eV/f.u.; calculated total energy = -7.20 eV/atom
1.0
7.037 0.000 0.000
0.000 8.922 0.000
0.000 0.000 4.597
Co Ir Rh
4 4 12
Cartesian
0.000 0.000 0.000
0.000 4.461 0.000
3.518 0.000 2.299
3.518 4.461 2.299
1.182 2.231 1.800
2.336 6.692 4.098
4.701 2.231 0.499
5.855 6.692 2.798
0.105 2.231 4.033
1.134 5.093 2.348
1.134 8.290 2.348
2.385 0.632 0.050
2.385 3.829 0.050
3.414 6.692 1.734
3.623 2.231 2.863
4.652 5.093 4.547
4.652 8.290 4.547
5.903 0.632 2.249
5.903 3.829 2.249
6.932 6.692 0.564

---

Record 3
CoIrRh2, optimized geometry, DFT PBE; formation energy from the elements = 0.049 eV per atom; energy above the most stable polymorph in this dataset = 26 meV/atom; calculated volume = 13.61 A^3/atom; SG = No. 10; Fermi-level density of states = 5.547 states/eV/f.u.; calculated total energy = -7.62 eV/atom
1.0
4.622 0.000 0.000
0.000 2.685 0.000
-1.545 0.000 4.387
Co Ir Rh
1 1 2
Cartesian
0.000 0.000 0.000
2.311 1.343 0.000
-0.772 1.343 2.194
1.539 0.000 2.194

---

Record 4
Co6Ir3Rh, optimized geometry, DFT PBE; formation energy from the elements = 0.313 eV per atom; calculated volume = 13.65 A^3/atom; SG = No. 11; Fermi-level density of states = 15.869 states/eV/f.u.; calculated total energy = -7.34 eV/atom
1.0
7.700 0.000 0.000
0.000 3.798 0.000
-0.232 0.000 9.334
Co Ir Rh
12 6 2
Cartesian
0.560 0.949 0.637
0.580 0.949 3.001
0.554 2.848 4.316
1.728 2.848 8.679
3.099 2.848 4.118
3.074 0.949 7.417
4.393 2.848 1.918
4.368 0.949 5.216
5.739 0.949 0.655
6.913 0.949 5.019
6.887 2.848 6.333
6.907 2.848 8.697
1.855 2.848 1.948
1.911 0.949 5.241
3.167 0.949 0.623
4.300 2.848 8.711
5.557 2.848 4.093
5.613 0.949 7.386
0.543 0.949 7.405
6.924 2.848 1.930

---

Record 5
Co2IrRh, optimized geometry, DFT PBE; formation energy from the elements = 0.063 eV per atom; energy above the most stable polymorph in this dataset = 18 meV/atom; calculated volume = 12.65 A^3/atom; SG = No. 123; Fermi-level density of states = 5.542 states/eV/f.u.; calculated total energy = -7.54 eV/atom
1.0
3.746 0.000 0.000
0.000 3.746 0.000
0.000 0.000 3.605
Co Ir Rh
2 1 1
Cartesian
0.000 1.873 0.000
1.873 0.000 0.000
0.000 0.000 1.802
1.873 1.873 1.802

---

Record 6
CoIrRh3, optimized geometry, DFT PBE; formation energy from the elements = 0.435 eV per atom; energy above the most stable polymorph in this dataset = 35 meV/atom; calculated volume = 14.57 A^3/atom; SG = No. 51; Fermi-level density of states = 8.235 states/eV/f.u.; calculated total energy = -7.17 eV/atom
1.0
8.368 0.000 0.000
0.000 2.611 0.000
0.000 0.000 6.671
Co Ir Rh
2 2 6
Cartesian
2.092 0.000 0.507
6.276 0.000 6.164
2.092 1.305 4.881
6.276 1.305 1.790
0.000 1.305 0.000
0.832 1.305 2.439
3.352 1.305 2.439
4.184 1.305 0.000
5.016 1.305 4.232
7.536 1.305 4.232

---

Record 7
CoIrRh2, optimized geometry, DFT PBE; formation energy from the elements = 0.066 eV per atom; energy above the most stable polymorph in this dataset = 44 meV/atom; calculated volume = 13.66 A^3/atom; SG = No. 166; Fermi-level density of states = 5.282 states/eV/f.u.; calculated total energy = -7.60 eV/atom
1.0
1.355 0.782 8.594
-1.355 0.782 8.594
0.000 -1.564 8.594
Co Ir Rh
1 1 2
Cartesian
0.000 0.000 0.000
0.000 0.000 12.891
0.000 0.000 6.529
0.000 0.000 19.254

---

Record 8
Co3IrRh, optimized geometry, DFT PBE; formation energy from the elements = 1.536 eV per atom; energy above the most stable polymorph in this dataset = 1355 meV/atom; calculated volume = 17.94 A^3/atom; SG = No. 221; Fermi-level density of states = 9.713 states/eV/f.u.; calculated total energy = -5.97 eV/atom
1.0
4.476 0.000 0.000
0.000 4.476 0.000
0.000 0.000 4.476
Co Ir Rh
3 1 1
Cartesian
0.000 0.000 2.238
0.000 2.238 0.000
2.238 0.000 0.000
0.000 0.000 0.000
2.238 2.238 2.238

---

Record 9
CoIr2Rh6, optimized geometry, DFT PBE; formation energy from the elements = 0.253 eV per atom; energy above the most stable polymorph in this dataset = 54 meV/atom; calculated volume = 14.35 A^3/atom; SG = No. 12; Fermi-level density of states = 14.791 states/eV/f.u.; calculated total energy = -7.41 eV/atom
1.0
3.533 -2.314 0.000
3.533 2.314 0.000
-1.493 0.000 7.898
Co Ir Rh
1 2 6
Cartesian
0.000 0.000 0.000
1.534 0.000 4.358
4.039 0.000 3.540
-0.461 0.000 2.590
1.004 0.000 7.056
2.057 0.000 1.745
3.517 0.000 6.153
4.569 0.000 0.842
6.035 0.000 5.308

---

Record 10
Co2Ir7Rh2, optimized geometry, DFT PBE; formation energy from the elements = 0.333 eV per atom; energy above the most stable polymorph in this dataset = 40 meV/atom; calculated volume = 14.93 A^3/atom; SG = No. 12; Fermi-level density of states = 14.793 states/eV/f.u.; calculated total energy = -7.93 eV/atom
1.0
4.662 -3.849 0.000
4.662 3.849 0.000
-0.790 0.000 4.575
Co Ir Rh
2 7 2
Cartesian
2.026 0.000 1.160
6.507 0.000 3.416
-0.395 0.000 2.288
1.575 1.371 3.401
1.575 -1.371 3.401
3.721 0.000 3.337
4.813 0.000 1.238
6.959 1.371 1.175
6.959 -1.371 1.175
4.662 2.458 0.000
4.662 -2.458 0.000

---

Record 11
Co6IrRh12, optimized geometry, DFT PBE; formation energy from the elements = 0.161 eV per atom; calculated volume = 13.71 A^3/atom; SG = No. 148; Fermi-level density of states = 31.111 states/eV/f.u.; calculated total energy = -7.19 eV/atom
1.0
4.465 2.578 3.772
-4.465 2.578 3.772
0.000 -5.156 3.772
Co Ir Rh
6 1 12
Cartesian
-1.748 -1.767 6.017
-2.404 0.630 5.299
0.656 -2.397 5.299
-0.656 2.397 6.017
2.404 -0.630 6.017
1.748 1.767 5.299
0.000 0.000 5.658
-1.237 -4.002 4.763
-4.084 -0.930 6.553
-0.958 -1.243 3.541
-2.847 3.072 4.763
-0.597 1.450 3.541
1.555 -0.208 3.541
-1.555 0.208 7.775
0.597 -1.450 7.775
2.847 -3.072 6.553
0.958 1.243 7.775
4.084 0.930 4.763
1.237 4.002 6.553

---

Record 12
CoIrRh2, optimized geometry, DFT PBE; formation energy from the elements = 0.029 eV per atom; energy above the most stable polymorph in this dataset = 6 meV/atom; calculated volume = 13.58 A^3/atom; SG = No. 119; Fermi-level density of states = 5.525 states/eV/f.u.; calculated total energy = -7.64 eV/atom
1.0
-1.898 1.898 3.767
1.898 -1.898 3.767
1.898 1.898 -3.767
Co Ir Rh
1 1 2
Cartesian
0.000 0.000 0.000
1.898 0.000 1.884
0.000 0.000 3.767
0.000 1.898 1.884